Density functional theory data (GGA-PBE) for CaAcHoMg after structural relaxation.

Unit cell a=8.2244 b=8.2244 c=8.2244 alpha=90.00 beta=90.00 gamma=90.00
Space group F-43m (No. 216)
One atom of each set of equivalent atoms:
1 Ca 0.0000 0.0000 0.0000
2 Ac 0.2500 0.2500 0.7500
3 Ho 0.0000 0.0000 0.5000
4 Mg 0.2500 0.2500 0.2500

The calculation puts the calculated volume at 556.3 Å³/cell. The size of the total moment is 0.00 μB/cell. The value obtained for the energy of formation is 0.140 eV per atom.

Density functional theory data (GGA-PBE) for Mg4CdPb7 after structural relaxation.

Unit cell a=14.7679 b=5.6065 c=10.8400 alpha=90.00 beta=127.46 gamma=90.00
Space group C2/m (No. 12)
One atom of each set of equivalent atoms:
1 Mg 0.0701 0.0000 0.2816
2 Mg 0.2025 0.0000 0.8424
3 Cd 0.0000 0.5000 0.5000
4 Pb 0.0000 0.0000 0.5000
5 Pb 0.0698 0.5000 0.8308
6 Pb 0.1534 0.0000 0.0857
7 Pb 0.2155 0.5000 0.3667

The calculation puts the calculated volume at 712.4 Å³/cell. The size of the total moment is 0.00 μB/cell. The value obtained for the energy of formation is 0.050 eV per atom.

Density functional theory data (GGA-PBE) for Pr2Si2Ni5 after structural relaxation.

Unit cell a=4.1449 b=4.1449 c=8.3424 alpha=90.00 beta=90.00 gamma=90.00
Space group P4/mmm (No. 123)
One atom of each set of equivalent atoms:
1 Pr 0.0000 0.0000 0.0000
2 Pr 0.0000 0.0000 0.5000
3 Si 0.5000 0.5000 0.1584
4 Ni 0.0000 0.5000 0.2746
5 Ni 0.5000 0.5000 0.5000

The value obtained for the formation energy (no corrections) is -0.475 eV/atom. The calculation puts the calculated volume at 143.3 Å³/cell. The size of the total moment is 0.00 μB/cell.